Computed, not measured: an optimized crystal structure of UGaCoNi at the PBE level of DFT.

Properties
- formation enthalpy at 0 K (kcal/mol of atoms) = -4.28
- magnetic moment (μB per atom) = 0.28
- final energy (eV/cell) = -27.94

Structure (CIF):
```
data_UGaCoNi
_space_group_name_H-M_alt 'P 1'
_space_group_IT_number 1
_cell_length_a 4.431
_cell_length_b 4.431
_cell_length_c 4.431
_cell_angle_alpha 60.00
_cell_angle_beta 60.00
_cell_angle_gamma 60.00
loop_
_space_group_symop_operation_xyz
'x,y,z'
loop_
_atom_site_label
_atom_site_type_symbol
_atom_site_fract_x
_atom_site_fract_y
_atom_site_fract_z
_atom_site_occupancy
U1 U 0.000 0.000 0.000 1
Ga1 Ga 0.500 0.500 0.500 1
Co1 Co 0.250 0.250 0.250 1
Ni1 Ni 0.750 0.750 0.750 1
```